! LaCeMn2O6, relaxed, DFT GGA+U; values from VASP
&SYSTEM
  ibrav = 0, nat = 10, ntyp = 4
/
ATOMIC_SPECIES
La 138.91 La.upf
Ce 140.12 Ce.upf
Mn 54.94 Mn.upf
O 16.00 O.upf
CELL_PARAMETERS angstrom
2.753 1.590 4.437
-2.753 1.590 4.437
0.000 -3.179 4.437
ATOMIC_POSITIONS crystal
La 0.000 0.000 0.000
Ce 0.500 0.500 0.500
Mn 0.250 0.250 0.250
Mn 0.750 0.750 0.750
O 0.000 0.430 0.570
O 0.081 0.919 0.500
O 0.430 0.570 0.000
O 0.500 0.081 0.919
O 0.570 0.000 0.430
O 0.919 0.500 0.081
! - Total moment: 2.99 Bohr magnetons per cell
! - Total DFT energy (no corrections): -7.763 eV/atom
! - Symmetry: R32